[1]
A relaxed Li2ZnGa2Ir2 crystal. Source: Alexandria via LeMat-Bulk, functional GGA-PBE.

Calculated values
- Total magnetic moment: 0.00 μB per formula unit
- ΔE_f: -0.296 eV per atom

Cell lengths 4.3009, 4.4193, 9.4127 Å; angles 124.60, 90.00, 119.12 degrees
Atoms (fractional coordinates):
Ir (0.7177, 0.4355, 0.1553)
Ir (0.2823, 0.5645, 0.8447)
Zn (0.0000, 0.0000, 0.5000)
Ga (0.4007, 0.8014, 0.1761)
Ga (0.5993, 0.1986, 0.8239)
Li (0.8330, 0.6660, 0.7040)
Li (0.1670, 0.3340, 0.2960)

***

[2]
A relaxed YErP crystal. Source: Alexandria via LeMat-Bulk, functional GGA-PBE.

Calculated values
- Total magnetic moment: 0.03 μB per formula unit
- ΔE_f: -0.985 eV per atom

Cell lengths 3.8886, 3.8886, 6.3077 Å; angles 90.00, 90.00, 120.00 degrees
Each line ends with the local moment (μB).
Atoms (fractional coordinates):
Er (0.3333, 0.6667, 0.5822)  -0.10
P (0.6667, 0.3333, 0.3357)  0.00
Y (0.0000, 0.0000, 0.0821)  0.08

***

[3]
A relaxed La2AlTe crystal. Source: Alexandria via LeMat-Bulk, functional GGA-PBE.

Calculated values
- Total magnetic moment: 0.00 μB per formula unit
- Energy above the most stable polymorph in this dataset: 122 meV per atom

Cell lengths 4.3521, 4.3521, 8.4979 Å; angles 75.18, 75.18, 59.96 degrees
Atoms (fractional coordinates):
Te (0.7500, 0.7500, 0.7500)
La (0.5009, 0.5009, 0.4971)
La (0.9991, 0.9991, 0.0029)
Al (0.2500, 0.2500, 0.2500)

***

[4]
A relaxed ZrSe3Cl crystal. Source: Alexandria via LeMat-Bulk, functional GGA-PBE.

Calculated values
- Total magnetic moment: 0.00 μB per formula unit
- Energy above the most stable polymorph in this dataset: 787 meV per atom

Cell lengths 4.8720, 4.8720, 4.8720 Å; angles 90.00, 90.00, 90.00 degrees
Atoms (fractional coordinates):
Cl (0.0000, 0.0000, 0.0000)
Zr (0.5000, 0.5000, 0.5000)
Se (0.0000, 0.5000, 0.0000)
Se (0.5000, 0.0000, 0.0000)
Se (0.0000, 0.0000, 0.5000)

***

[5]
A relaxed LaHo4Er2 crystal. Source: Alexandria via LeMat-Bulk, functional GGA-PBE.

Calculated values
- Total magnetic moment: 0.00 μB per formula unit
- ΔE_f: 0.125 eV per atom

Cell lengths 3.4726, 8.4777, 8.6933 Å; angles 115.23, 90.05, 101.81 degrees
Atoms (fractional coordinates):
Ho (0.3615, 0.7234, 0.5892)
Ho (0.0789, 0.1565, 0.6968)
Ho (0.9211, 0.8435, 0.3032)
Ho (0.6385, 0.2766, 0.4108)
Er (0.2247, 0.4505, 0.1500)
Er (0.7753, 0.5495, 0.8500)
La (0.0000, 0.0000, 0.0000)

***

[6]
A relaxed CsFeSeN2 crystal. Source: Alexandria via LeMat-Bulk, functional GGA-PBE.

Calculated values
- Total magnetic moment: 5.02 μB per formula unit

Cell lengths 4.2208, 4.2208, 7.0169 Å; angles 90.00, 90.00, 90.00 degrees
Each line ends with the local moment (μB).
Atoms (fractional coordinates):
N (0.5000, 0.0000, 0.0000)  0.34
N (0.0000, 0.5000, 0.0000)  0.34
Fe (0.5000, 0.5000, 0.5000)  3.48
Se (0.0000, 0.0000, 0.5000)  0.19
Cs (0.0000, 0.0000, 0.0000)  0.02

***

no.,calculated total energy (eV per cell)
1,-30.95
2,-19.39
3,-20.14
4,-18.24
5,-31.49
6,-16.48